[1]
The following is a PBE calculation of an optimized crystal structure of CeMgGe2Pd5, from Alexandria via LeMat-Bulk.

a = 4.2599 Å, b = 4.2599 Å, c = 8.9944 Å
α = 90.00°, β = 90.00°, γ = 90.00°
Element x y z (fractional)
Ce 0.0000 0.0000 0.0000
Mg 0.0000 0.0000 0.5000
Ge 0.5000 0.5000 0.3680
Ge 0.5000 0.5000 0.6320
Pd 0.0000 0.5000 0.2297
Pd 0.0000 0.5000 0.7703
Pd 0.5000 0.0000 0.2297
Pd 0.5000 0.0000 0.7703
Pd 0.5000 0.5000 0.0000

Energy ... -5.330 eV/atom
N(E_F) ... 6.7 states/eV per cell
Space-group type ... No. 123
Energy of formation from the pure elements ... -0.5826 eV per atom



[2]
The following is a PBE calculation of an optimized crystal structure of CeMgGe2Pd2, from Alexandria via LeMat-Bulk.

a = 4.3500 Å, b = 4.3500 Å, c = 6.9094 Å
α = 90.00°, β = 90.00°, γ = 120.00°
Element x y z (fractional)
Ce 0.0000 0.0000 0.0000
Mg 0.0000 0.0000 0.5000
Ge 0.3333 0.6667 0.2610
Ge 0.6667 0.3333 0.7390
Pd 0.3333 0.6667 0.6721
Pd 0.6667 0.3333 0.3279

Energy ... -5.270 eV/atom
N(E_F) ... 6.3 states/eV per cell
Space-group type ... No. 164
Energy of formation from the pure elements ... -0.7455 eV per atom



[3]
The following is a PBE calculation of an optimized crystal structure of Ce2MgGe3Pd4, from Alexandria via LeMat-Bulk.

a = 4.3036 Å, b = 4.3036 Å, c = 10.5066 Å
α = 90.00°, β = 90.00°, γ = 90.00°
Element x y z (fractional)
Ce 0.0000 0.5000 0.2419
Ce 0.5000 0.0000 0.7581
Mg 0.0000 0.0000 0.5000
Ge 0.0000 0.5000 0.8713
Ge 0.5000 0.0000 0.1287
Ge 0.5000 0.5000 0.5000
Pd 0.0000 0.0000 0.0000
Pd 0.0000 0.5000 0.6375
Pd 0.5000 0.0000 0.3625
Pd 0.5000 0.5000 0.0000

Energy ... -5.569 eV/atom
N(E_F) ... 14.0 states/eV per cell
Space-group type ... No. 115
Energy of formation from the pure elements ... -0.7609 eV per atom



[4]
The following is a PBE calculation of an optimized crystal structure of CePmMgGe, from Alexandria via LeMat-Bulk.

a = 5.2543 Å, b = 5.2543 Å, c = 5.2543 Å
α = 60.00°, β = 60.00°, γ = 60.00°
Element x y z (fractional)
Ce 0.0000 0.0000 0.0000
Pm 0.5000 0.5000 0.5000
Mg 0.2500 0.2500 0.2500
Ge 0.7500 0.7500 0.7500

Energy ... -4.529 eV/atom
N(E_F) ... 8.6 states/eV per cell
Space-group type ... No. 216
Energy of formation from the pure elements ... -0.3053 eV per atom



[5]
The following is a PBE calculation of an optimized crystal structure of Ce2MgGePt6, from Alexandria via LeMat-Bulk.

a = 5.4651 Å, b = 6.4749 Å, c = 6.9197 Å
α = 80.75°, β = 66.75°, γ = 65.04°
Element x y z (fractional)
Ce 0.2461 0.2117 0.2962
Ce 0.7539 0.7883 0.7038
Mg 0.5000 0.5000 0.5000
Ge 0.0000 0.0000 0.0000
Pt 0.2330 0.7719 0.2602
Pt 0.2513 0.5902 0.9051
Pt 0.2651 0.2276 0.7387
Pt 0.7349 0.7724 0.2613
Pt 0.7487 0.4098 0.0949
Pt 0.7670 0.2281 0.7398

Energy ... -6.182 eV/atom
N(E_F) ... 13.2 states/eV per cell
Space-group type ... No. 2
Energy of formation from the pure elements ... -0.7493 eV per atom



[6]
The following is a PBE calculation of an optimized crystal structure of Ce2MgGe4Pt3, from Alexandria via LeMat-Bulk.

a = 4.2703 Å, b = 4.2703 Å, c = 10.7469 Å
α = 90.00°, β = 90.00°, γ = 90.00°
Element x y z (fractional)
Ce 0.0000 0.5000 0.2432
Ce 0.5000 0.0000 0.7568
Mg 0.0000 0.0000 0.5000
Ge 0.0000 0.0000 0.0000
Ge 0.0000 0.5000 0.6448
Ge 0.5000 0.0000 0.3552
Ge 0.5000 0.5000 0.0000
Pt 0.0000 0.5000 0.8743
Pt 0.5000 0.0000 0.1257
Pt 0.5000 0.5000 0.5000

Energy ... -5.855 eV/atom
N(E_F) ... 10.8 states/eV per cell
Space-group type ... No. 115
Energy of formation from the pure elements ... -0.8497 eV per atom



[7]
The following is a PBE calculation of an optimized crystal structure of Ce2Mg2Ge4Pt, from Alexandria via LeMat-Bulk.

a = 6.3656 Å, b = 6.3656 Å, c = 6.3656 Å
α = 117.52°, β = 117.52°, γ = 94.35°
Element x y z (fractional)
Ce 0.2500 0.7500 0.5000
Ce 0.7500 0.2500 0.5000
Mg 0.2032 0.2032 0.0000
Mg 0.7968 0.7968 0.0000
Ge 0.2305 0.2305 0.4611
Ge 0.2305 0.7695 0.0000
Ge 0.7695 0.2305 0.0000
Ge 0.7695 0.7695 0.5389
Pt 0.5000 0.5000 0.0000

Energy ... -4.954 eV/atom
N(E_F) ... 10.2 states/eV per cell
Space-group type ... No. 139
Energy of formation from the pure elements ... -0.5572 eV per atom



[8]
The following is a PBE calculation of an optimized crystal structure of CeMgGe2Pt5, from Alexandria via LeMat-Bulk.

a = 4.2680 Å, b = 4.2680 Å, c = 9.0239 Å
α = 90.00°, β = 90.00°, γ = 90.00°
Element x y z (fractional)
Ce 0.0000 0.0000 0.0000
Mg 0.0000 0.0000 0.5000
Ge 0.5000 0.5000 0.3688
Ge 0.5000 0.5000 0.6312
Pt 0.0000 0.5000 0.2304
Pt 0.0000 0.5000 0.7696
Pt 0.5000 0.0000 0.2304
Pt 0.5000 0.0000 0.7696
Pt 0.5000 0.5000 0.0000

Energy ... -5.890 eV/atom
N(E_F) ... 5.8 states/eV per cell
Space-group type ... No. 123
Energy of formation from the pure elements ... -0.6715 eV per atom



[9]
The following is a PBE calculation of an optimized crystal structure of CeMgGePt, from Alexandria via LeMat-Bulk.

a = 4.8719 Å, b = 4.8719 Å, c = 4.8719 Å
α = 60.00°, β = 60.00°, γ = 60.00°
Element x y z (fractional)
Ce 0.0000 0.0000 0.0000
Mg 0.5000 0.5000 0.5000
Ge 0.2500 0.2500 0.2500
Pt 0.7500 0.7500 0.7500

Energy ... -5.255 eV/atom
N(E_F) ... 3.1 states/eV per cell
ΔE to the lowest computed polymorph ... 0.0 meV per atom
Space-group type ... No. 216
Energy of formation from the pure elements ... -0.7083 eV per atom



[10]
The following is a PBE calculation of an optimized crystal structure of CeMgGePt, from Alexandria via LeMat-Bulk.

a = 4.1393 Å, b = 4.1393 Å, c = 10.1546 Å
α = 90.00°, β = 90.00°, γ = 90.00°
Element x y z (fractional)
Ce 0.2500 0.2500 0.2162
Ce 0.7500 0.7500 0.7838
Mg 0.2500 0.7500 0.5000
Mg 0.7500 0.2500 0.5000
Ge 0.2500 0.2500 0.9356
Ge 0.7500 0.7500 0.0644
Pt 0.2500 0.2500 0.6849
Pt 0.7500 0.7500 0.3151

Energy ... -5.214 eV/atom
N(E_F) ... 11.7 states/eV per cell
ΔE to the lowest computed polymorph ... 40.7 meV per atom
Space-group type ... No. 129
Energy of formation from the pure elements ... -0.6676 eV per atom



[11]
The following is a PBE calculation of an optimized crystal structure of Ce2MgGe2Rh5, from Alexandria via LeMat-Bulk.

a = 9.9414 Å, b = 9.9414 Å, c = 3.6281 Å
α = 90.00°, β = 90.00°, γ = 90.00°
Element x y z (fractional)
Ce 0.1757 0.3243 0.0000
Ce 0.3243 0.8243 0.0000
Ce 0.6757 0.1757 0.0000
Ce 0.8243 0.6757 0.0000
Mg 0.0000 0.0000 0.0000
Mg 0.5000 0.5000 0.0000
Ge 0.1232 0.6232 0.0000
Ge 0.3768 0.1232 0.0000
Ge 0.6232 0.8768 0.0000
Ge 0.8768 0.3768 0.0000
Rh 0.0000 0.5000 0.5000
Rh 0.0684 0.7862 0.5000
Rh 0.2138 0.0684 0.5000
Rh 0.2862 0.5684 0.5000
Rh 0.4316 0.2862 0.5000
Rh 0.5000 0.0000 0.5000
Rh 0.5684 0.7138 0.5000
Rh 0.7138 0.4316 0.5000
Rh 0.7862 0.9316 0.5000
Rh 0.9316 0.2138 0.5000

Energy ... -6.630 eV/atom
N(E_F) ... 22.0 states/eV per cell
Space-group type ... No. 127
Energy of formation from the pure elements ... -0.6846 eV per atom



[12]
The following is a PBE calculation of an optimized crystal structure of CeMg2Ge2Rh, from Alexandria via LeMat-Bulk.

a = 8.8826 Å, b = 8.8826 Å, c = 8.8826 Å
α = 153.38°, β = 153.38°, γ = 38.00°
Element x y z (fractional)
Ce 0.0000 0.0000 0.0000
Mg 0.2500 0.7500 0.5000
Mg 0.7500 0.2500 0.5000
Ge 0.3573 0.3573 0.0000
Ge 0.6427 0.6427 0.0000
Rh 0.5000 0.5000 0.0000

Energy ... -4.547 eV/atom
N(E_F) ... 6.6 states/eV per cell
Space-group type ... No. 139
Energy of formation from the pure elements ... -0.2617 eV per atom



[13]
The following is a PBE calculation of an optimized crystal structure of CeMgGeRh, from Alexandria via LeMat-Bulk.

a = 4.8121 Å, b = 4.8121 Å, c = 4.8121 Å
α = 60.00°, β = 60.00°, γ = 60.00°
Element x y z (fractional)
Ce 0.0000 0.0000 0.0000
Mg 0.5000 0.5000 0.5000
Ge 0.2500 0.2500 0.2500
Rh 0.7500 0.7500 0.7500

Energy ... -5.372 eV/atom
N(E_F) ... 4.5 states/eV per cell
Space-group type ... No. 216
Energy of formation from the pure elements ... -0.4980 eV per atom



[14]
The following is a PBE calculation of an optimized crystal structure of Ce2MgGe2Ru5, from Alexandria via LeMat-Bulk.

a = 10.0205 Å, b = 10.0205 Å, c = 3.4824 Å
α = 90.00°, β = 90.00°, γ = 90.00°
Element x y z (fractional)
Ce 0.1731 0.3269 0.0000
Ce 0.3269 0.8269 0.0000
Ce 0.6731 0.1731 0.0000
Ce 0.8269 0.6731 0.0000
Mg 0.0000 0.0000 0.0000
Mg 0.5000 0.5000 0.0000
Ge 0.1259 0.6259 0.0000
Ge 0.3741 0.1259 0.0000
Ge 0.6259 0.8741 0.0000
Ge 0.8741 0.3741 0.0000
Ru 0.0000 0.5000 0.5000
Ru 0.0716 0.7910 0.5000
Ru 0.2090 0.0716 0.5000
Ru 0.2910 0.5716 0.5000
Ru 0.4284 0.2910 0.5000
Ru 0.5000 0.0000 0.5000
Ru 0.5716 0.7090 0.5000
Ru 0.7090 0.4284 0.5000
Ru 0.7910 0.9284 0.5000
Ru 0.9284 0.2090 0.5000

Energy ... -7.254 eV/atom
N(E_F) ... 9.5 states/eV per cell
Space-group type ... No. 127
Energy of formation from the pure elements ... -0.3465 eV per atom



[15]
The following is a PBE calculation of an optimized crystal structure of Ce2MgGeRu, from Alexandria via LeMat-Bulk.

a = 7.2596 Å, b = 4.2258 Å, c = 8.3078 Å
α = 90.00°, β = 109.43°, γ = 90.00°
Element x y z (fractional)
Ce 0.0583 0.2500 0.3168
Ce 0.3243 0.7500 0.0854
Ce 0.6757 0.2500 0.9146
Ce 0.9417 0.7500 0.6832
Mg 0.4067 0.7500 0.5861
Mg 0.5933 0.2500 0.4139
Ge 0.2400 0.2500 0.7019
Ge 0.7600 0.7500 0.2981
Ru 0.1188 0.2500 0.9534
Ru 0.8812 0.7500 0.0466

Energy ... -5.839 eV/atom
N(E_F) ... 15.9 states/eV per cell
Space-group type ... No. 11
Energy of formation from the pure elements ... -0.3678 eV per atom



[16]
The following is a PBE calculation of an optimized crystal structure of CeMgSiGe, from Alexandria via LeMat-Bulk.

a = 4.8936 Å, b = 4.8936 Å, c = 4.8936 Å
α = 60.00°, β = 60.00°, γ = 60.00°
Element x y z (fractional)
Ce 0.0000 0.0000 0.0000
Mg 0.5000 0.5000 0.5000
Si 0.2500 0.2500 0.2500
Ge 0.7500 0.7500 0.7500

Energy ... -4.721 eV/atom
N(E_F) ... 4.3 states/eV per cell
ΔE_f (raw) ... -328.5 meV/atom
Space-group type ... No. 216



[17]
The following is a PBE calculation of an optimized crystal structure of CeMgSnGe, from Alexandria via LeMat-Bulk.

a = 5.1256 Å, b = 5.1256 Å, c = 5.1256 Å
α = 60.00°, β = 60.00°, γ = 60.00°
Element x y z (fractional)
Ce 0.0000 0.0000 0.0000
Mg 0.5000 0.5000 0.5000
Sn 0.7500 0.7500 0.7500
Ge 0.2500 0.2500 0.2500

Energy ... -4.385 eV/atom
N(E_F) ... 5.0 states/eV per cell
ΔE to the lowest computed polymorph ... 153.6 meV per atom
Space-group type ... No. 216
Energy of formation from the pure elements ... -0.3478 eV per atom



[18]
The following is a PBE calculation of an optimized crystal structure of CeMgSnGe, from Alexandria via LeMat-Bulk.

a = 4.2931 Å, b = 4.4963 Å, c = 4.8250 Å
α = 90.00°, β = 90.00°, γ = 90.00°
Element x y z (fractional)
Ce 0.0000 0.0000 0.0000
Mg 0.0000 0.5000 0.5000
Sn 0.5000 0.0000 0.5000
Ge 0.5000 0.5000 0.0000

Energy ... -4.539 eV/atom
N(E_F) ... 4.0 states/eV per cell
ΔE to the lowest computed polymorph ... 0.0 meV per atom
Space-group type ... No. 47
Energy of formation from the pure elements ... -0.5014 eV per atom



[19]
The following is a PBE calculation of an optimized crystal structure of CeMgTcGe2, from Alexandria via LeMat-Bulk.

a = 6.4343 Å, b = 6.4343 Å, c = 6.4343 Å
α = 142.78°, β = 142.78°, γ = 53.65°
Element x y z (fractional)
Ce 0.0000 0.0000 0.0000
Mg 0.2500 0.7500 0.5000
Tc 0.7500 0.2500 0.5000
Ge 0.3892 0.3892 0.0000
Ge 0.6108 0.6108 0.0000

Energy ... -5.784 eV/atom
N(E_F) ... 8.1 states/eV per cell
Space-group type ... No. 119
Energy of formation from the pure elements ... -0.3579 eV per atom



[20]
The following is a PBE calculation of an optimized crystal structure of CeTmMgGe, from Alexandria via LeMat-Bulk.

a = 5.1536 Å, b = 5.1536 Å, c = 5.1536 Å
α = 60.00°, β = 60.00°, γ = 60.00°
Element x y z (fractional)
Ce 0.0000 0.0000 0.0000
Tm 0.5000 0.5000 0.5000
Mg 0.7500 0.7500 0.7500
Ge 0.2500 0.2500 0.2500

Energy ... -4.450 eV/atom
N(E_F) ... 7.7 states/eV per cell
Space-group type ... No. 216
Energy of formation from the pure elements ... -0.2956 eV per atom